[1]
The following is a PBE calculation of Ac3Ga2Hg6 after structural relaxation, from Alexandria via LeMat-Bulk.

Cell: 4.446 4.446 16.672 Å, 97.66 97.66 90.00°
Fractional coordinates of all 11 atoms:
Ga 0.363 0.363 0.726
Ga 0.637 0.637 0.274
Hg 0.922 0.422 0.843
Hg 0.078 0.578 0.157
Hg 0.726 0.726 0.453
Hg 0.578 0.078 0.157
Hg 0.274 0.274 0.547
Hg 0.422 0.922 0.843
Ac 0.171 0.171 0.343
Ac 0.000 0.000 0.000
Ac 0.829 0.829 0.657

calculated volume: 323.7 Å³ per cell
Fermi-level density of states: 10.4 states/eV/f.u.
formation energy: -0.305 eV/atom
space-group type: I4/mmm, No. 139

=====

[2]
The following is a PBE calculation of KScMn4 after structural relaxation, from Alexandria via LeMat-Bulk.

Cell: 5.520 5.520 5.520 Å, 60.00 60.00 60.00°
Fractional coordinates of all 6 atoms:
Mn 0.379 0.379 0.863
Mn 0.379 0.379 0.379
Mn 0.379 0.863 0.379
Mn 0.863 0.379 0.379
Sc 0.750 0.750 0.750
K 0.000 0.000 0.000

calculated volume: 119.0 Å³ per cell
Fermi-level density of states: 4.5 states/eV/f.u.
formation energy: 0.743 eV/atom
space-group type: F-43m, No. 216

=====

[3]
The following is a PBE calculation of PrY2H8 after structural relaxation, from Alexandria via LeMat-Bulk.

Cell: 3.705 5.308 6.438 Å, 114.35 106.72 90.00°
Fractional coordinates of all 11 atoms:
H 0.334 0.102 0.668
H 0.000 0.713 0.000
H 0.666 0.434 0.332
H 0.157 0.157 0.314
H 0.000 0.287 0.000
H 0.666 0.898 0.332
H 0.334 0.566 0.668
H 0.843 0.843 0.686
Pr 0.500 0.000 0.000
Y 0.830 0.330 0.660
Y 0.170 0.670 0.340

calculated volume: 109.4 Å³ per cell
Fermi-level density of states: 1.1 states/eV/f.u.
space-group type: Immm, No. 71
E_tot: -0.1710 hartree per atom

=====

[4]
The following is a PBE calculation of NaMgPdF6 after structural relaxation, from Alexandria via LeMat-Bulk.

Cell: 5.376 5.376 9.863 Å, 90.00 90.00 120.00°
Fractional coordinates of all 18 atoms:
F 0.006 0.646 0.360
F 0.646 0.640 0.640
F 0.994 0.354 0.640
F 0.354 0.994 0.140
F 0.360 0.354 0.860
F 0.006 0.360 0.140
F 0.360 0.006 0.640
F 0.646 0.006 0.860
F 0.640 0.646 0.140
F 0.354 0.360 0.360
F 0.640 0.994 0.360
F 0.994 0.640 0.860
Mg 0.667 0.333 0.750
Mg 0.333 0.667 0.250
Pd 0.667 0.333 0.250
Pd 0.333 0.667 0.750
Na 0.000 0.000 0.500
Na 0.000 0.000 0.000

E_form (uncorrected): -2.3414 eV per atom
calculated volume: 246.8 Å³ per cell
Fermi-level density of states: 6.8 states/eV/f.u.
space-group type: P-31c, No. 163